1.
# AsPd2Pb | Alexandria | PBE-GGA | optimized geometry
data_AsPd2Pb
_chemical_formula_sum 'As4 Pd8 Pb4'
_space_group_name_H-M_alt 'P 1'
_space_group_IT_number 1
_space_group_name_Hall 'P 1'
_cell_length_a 4.613
_cell_length_b 4.613
_cell_length_c 16.358
_cell_angle_alpha 90.00
_cell_angle_beta 90.00
_cell_angle_gamma 90.00
loop_
_atom_site_label
_atom_site_type_symbol
_atom_site_fract_x
_atom_site_fract_y
_atom_site_fract_z
As1 As 0.000 0.000 0.000
As2 As 0.000 0.500 0.250
As3 As 0.500 0.000 0.750
As4 As 0.500 0.500 0.500
Pd1 Pd 0.179 0.250 0.125
Pd2 Pd 0.250 0.679 0.375
Pd3 Pd 0.250 0.821 0.875
Pd4 Pd 0.321 0.250 0.625
Pd5 Pd 0.679 0.750 0.625
Pd6 Pd 0.750 0.179 0.875
Pd7 Pd 0.750 0.321 0.375
Pd8 Pd 0.821 0.750 0.125
Pb1 Pb 0.000 0.000 0.500
Pb2 Pb 0.000 0.500 0.750
Pb3 Pb 0.500 0.000 0.250
Pb4 Pb 0.500 0.500 0.000
# Density (g/cm³): 9.44
# E_form (kJ/mol of formula units): -61

***

2.
# AsPd3Pb | Alexandria | PBE-GGA | optimized geometry
data_AsPd3Pb
_chemical_formula_sum 'As1 Pd3 Pb1'
_space_group_name_H-M_alt 'P 1'
_space_group_IT_number 1
_space_group_name_Hall 'P 1'
_cell_length_a 4.735
_cell_length_b 4.735
_cell_length_c 4.735
_cell_angle_alpha 90.00
_cell_angle_beta 90.00
_cell_angle_gamma 90.00
loop_
_atom_site_label
_atom_site_type_symbol
_atom_site_fract_x
_atom_site_fract_y
_atom_site_fract_z
As1 As 0.000 0.000 0.000
Pd1 Pd 0.000 0.000 0.500
Pd2 Pd 0.000 0.500 0.000
Pd3 Pd 0.500 0.000 0.000
Pb1 Pb 0.500 0.500 0.500
# Density (g/cm³): 9.41
# E_form (kJ/mol of formula units): -62

***

3.
# As3PdPb | Alexandria | PBE-GGA | optimized geometry
data_As3PdPb
_chemical_formula_sum 'As3 Pd1 Pb1'
_space_group_name_H-M_alt 'P 1'
_space_group_IT_number 1
_space_group_name_Hall 'P 1'
_cell_length_a 4.972
_cell_length_b 4.972
_cell_length_c 4.972
_cell_angle_alpha 90.00
_cell_angle_beta 90.00
_cell_angle_gamma 90.00
loop_
_atom_site_label
_atom_site_type_symbol
_atom_site_fract_x
_atom_site_fract_y
_atom_site_fract_z
As1 As 0.000 0.000 0.500
As2 As 0.000 0.500 0.000
As3 As 0.500 0.000 0.000
Pd1 Pd 0.000 0.000 0.000
Pb1 Pb 0.500 0.500 0.500
# Density (g/cm³): 7.27
# E_form (kJ/mol of formula units): 189

***

4.
# AsPd2Pb | Alexandria | PBE-GGA | optimized geometry
data_AsPd2Pb
_chemical_formula_sum 'As4 Pd8 Pb4'
_space_group_name_H-M_alt 'P 1'
_space_group_IT_number 1
_space_group_name_Hall 'P 1'
_cell_length_a 12.243
_cell_length_b 5.667
_cell_length_c 4.984
_cell_angle_alpha 90.00
_cell_angle_beta 97.65
_cell_angle_gamma 90.00
loop_
_atom_site_label
_atom_site_type_symbol
_atom_site_fract_x
_atom_site_fract_y
_atom_site_fract_z
As1 As 0.000 0.000 0.000
As2 As 0.000 0.189 0.500
As3 As 0.500 0.500 0.000
As4 As 0.500 0.689 0.500
Pd1 Pd 0.105 0.391 0.166
Pd2 Pd 0.180 0.074 0.790
Pd3 Pd 0.320 0.574 0.210
Pd4 Pd 0.395 0.891 0.834
Pd5 Pd 0.605 0.891 0.166
Pd6 Pd 0.680 0.574 0.790
Pd7 Pd 0.820 0.074 0.210
Pd8 Pd 0.895 0.391 0.834
Pb1 Pb 0.191 0.593 0.679
Pb2 Pb 0.309 0.093 0.321
Pb3 Pb 0.691 0.093 0.679
Pb4 Pb 0.809 0.593 0.321
# Density (g/cm³): 9.59
# E_form (kJ/mol of formula units): -49

***

5.
# AsPd2Pb | Alexandria | PBE-GGA | optimized geometry
data_AsPd2Pb
_chemical_formula_sum 'As8 Pd16 Pb8'
_space_group_name_H-M_alt 'P 1'
_space_group_IT_number 1
_space_group_name_Hall 'P 1'
_cell_length_a 5.980
_cell_length_b 15.737
_cell_length_c 6.763
_cell_angle_alpha 90.00
_cell_angle_beta 90.00
_cell_angle_gamma 90.00
loop_
_atom_site_label
_atom_site_type_symbol
_atom_site_fract_x
_atom_site_fract_y
_atom_site_fract_z
As1 As 0.191 0.059 0.052
As2 As 0.191 0.441 0.552
As3 As 0.309 0.559 0.052
As4 As 0.309 0.941 0.552
As5 As 0.691 0.059 0.448
As6 As 0.691 0.441 0.948
As7 As 0.809 0.559 0.448
As8 As 0.809 0.941 0.948
Pd1 Pd 0.011 0.044 0.695
Pd2 Pd 0.011 0.456 0.195
Pd3 Pd 0.013 0.651 0.204
Pd4 Pd 0.013 0.849 0.704
Pd5 Pd 0.487 0.151 0.204
Pd6 Pd 0.487 0.349 0.704
Pd7 Pd 0.489 0.544 0.695
Pd8 Pd 0.489 0.956 0.195
Pd9 Pd 0.511 0.044 0.805
Pd10 Pd 0.511 0.456 0.305
Pd11 Pd 0.513 0.651 0.296
Pd12 Pd 0.513 0.849 0.796
Pd13 Pd 0.987 0.151 0.296
Pd14 Pd 0.987 0.349 0.796
Pd15 Pd 0.989 0.544 0.805
Pd16 Pd 0.989 0.956 0.305
Pb1 Pb 0.207 0.692 0.598
Pb2 Pb 0.207 0.808 0.098
Pb3 Pb 0.293 0.192 0.598
Pb4 Pb 0.293 0.308 0.098
Pb5 Pb 0.707 0.692 0.902
Pb6 Pb 0.707 0.808 0.402
Pb7 Pb 0.793 0.192 0.902
Pb8 Pb 0.793 0.308 0.402
# Density (g/cm³): 10.33
# E_form (kJ/mol of formula units): -129

***

6.
# AsPdPb2 | Alexandria | PBE-GGA | optimized geometry
data_AsPdPb2
_chemical_formula_sum 'As4 Pd4 Pb8'
_space_group_name_H-M_alt 'P 1'
_space_group_IT_number 1
_space_group_name_Hall 'P 1'
_cell_length_a 6.434
_cell_length_b 6.434
_cell_length_c 12.523
_cell_angle_alpha 90.00
_cell_angle_beta 90.00
_cell_angle_gamma 90.00
loop_
_atom_site_label
_atom_site_type_symbol
_atom_site_fract_x
_atom_site_fract_y
_atom_site_fract_z
As1 As 0.000 0.000 0.000
As2 As 0.000 0.500 0.250
As3 As 0.500 0.000 0.750
As4 As 0.500 0.500 0.500
Pd1 Pd 0.000 0.000 0.500
Pd2 Pd 0.000 0.500 0.750
Pd3 Pd 0.500 0.000 0.250
Pd4 Pd 0.500 0.500 0.000
Pb1 Pb 0.233 0.250 0.625
Pb2 Pb 0.250 0.733 0.875
Pb3 Pb 0.250 0.767 0.375
Pb4 Pb 0.267 0.250 0.125
Pb5 Pb 0.733 0.750 0.125
Pb6 Pb 0.750 0.233 0.375
Pb7 Pb 0.750 0.267 0.875
Pb8 Pb 0.767 0.750 0.625
# Density (g/cm³): 7.63
# E_form (kJ/mol of formula units): 39

***

7.
# AsPd2Pb | Alexandria | PBE-GGA | optimized geometry
data_AsPd2Pb
_chemical_formula_sum 'As3 Pd6 Pb3'
_space_group_name_H-M_alt 'P 1'
_space_group_IT_number 1
_space_group_name_Hall 'P 1'
_cell_length_a 4.249
_cell_length_b 4.249
_cell_length_c 16.103
_cell_angle_alpha 90.00
_cell_angle_beta 90.00
_cell_angle_gamma 120.00
loop_
_atom_site_label
_atom_site_type_symbol
_atom_site_fract_x
_atom_site_fract_y
_atom_site_fract_z
As1 As 0.000 0.000 0.000
As2 As 0.333 0.667 0.667
As3 As 0.667 0.333 0.333
Pd1 Pd 0.000 0.000 0.367
Pd2 Pd 0.000 0.000 0.604
Pd3 Pd 0.333 0.667 0.034
Pd4 Pd 0.333 0.667 0.270
Pd5 Pd 0.667 0.333 0.700
Pd6 Pd 0.667 0.333 0.937
Pb1 Pb 0.000 0.000 0.812
Pb2 Pb 0.333 0.667 0.479
Pb3 Pb 0.667 0.333 0.146
# Density (g/cm³): 9.79
# E_form (kJ/mol of formula units): -78

***

8.
# As4Pd5Pb | Alexandria | PBE-GGA | optimized geometry
data_As4Pd5Pb
_chemical_formula_sum 'As8 Pd10 Pb2'
_space_group_name_H-M_alt 'P 1'
_space_group_IT_number 1
_space_group_name_Hall 'P 1'
_cell_length_a 6.921
_cell_length_b 6.921
_cell_length_c 9.370
_cell_angle_alpha 106.04
_cell_angle_beta 106.04
_cell_angle_gamma 61.33
loop_
_atom_site_label
_atom_site_type_symbol
_atom_site_fract_x
_atom_site_fract_y
_atom_site_fract_z
As1 As 0.127 0.873 0.500
As2 As 0.235 0.566 0.793
As3 As 0.410 0.748 0.216
As4 As 0.566 0.235 0.293
As5 As 0.584 0.929 0.643
As6 As 0.748 0.410 0.716
As7 As 0.873 0.127 0.000
As8 As 0.929 0.584 0.143
Pd1 Pd 0.164 0.220 0.696
Pd2 Pd 0.220 0.164 0.196
Pd3 Pd 0.289 0.446 0.050
Pd4 Pd 0.446 0.289 0.550
Pd5 Pd 0.533 0.599 0.469
Pd6 Pd 0.599 0.533 0.969
Pd7 Pd 0.737 0.858 0.401
Pd8 Pd 0.858 0.737 0.901
Pd9 Pd 0.948 0.966 0.726
Pd10 Pd 0.966 0.948 0.226
Pb1 Pb 0.392 0.984 0.930
Pb2 Pb 0.984 0.392 0.430
# Density (g/cm³): 9.25
# E_form (kJ/mol of formula units): -298

***

9.
# AsPd3Pb | Alexandria | PBE-GGA | optimized geometry
data_AsPd3Pb
_chemical_formula_sum 'As4 Pd12 Pb4'
_space_group_name_H-M_alt 'P 1'
_space_group_IT_number 1
_space_group_name_Hall 'P 1'
_cell_length_a 8.050
_cell_length_b 5.206
_cell_length_c 9.923
_cell_angle_alpha 90.00
_cell_angle_beta 118.74
_cell_angle_gamma 90.00
loop_
_atom_site_label
_atom_site_type_symbol
_atom_site_fract_x
_atom_site_fract_y
_atom_site_fract_z
As1 As 0.213 0.180 0.064
As2 As 0.213 0.320 0.564
As3 As 0.787 0.680 0.436
As4 As 0.787 0.820 0.936
Pd1 Pd 0.105 0.213 0.772
Pd2 Pd 0.105 0.287 0.272
Pd3 Pd 0.130 0.703 0.074
Pd4 Pd 0.130 0.797 0.574
Pd5 Pd 0.477 0.111 0.803
Pd6 Pd 0.477 0.389 0.303
Pd7 Pd 0.523 0.611 0.697
Pd8 Pd 0.523 0.889 0.197
Pd9 Pd 0.870 0.203 0.426
Pd10 Pd 0.870 0.297 0.926
Pd11 Pd 0.895 0.713 0.728
Pd12 Pd 0.895 0.787 0.228
Pb1 Pb 0.318 0.685 0.890
Pb2 Pb 0.318 0.815 0.390
Pb3 Pb 0.682 0.185 0.610
Pb4 Pb 0.682 0.315 0.110
# Density (g/cm³): 10.96
# E_form (kJ/mol of formula units): -147

***

10.
# As2PdPb | Alexandria | PBE-GGA | optimized geometry
data_As2PdPb
_chemical_formula_sum 'As6 Pd3 Pb3'
_space_group_name_H-M_alt 'P 1'
_space_group_IT_number 1
_space_group_name_Hall 'P 1'
_cell_length_a 3.566
_cell_length_b 3.566
_cell_length_c 27.045
_cell_angle_alpha 90.00
_cell_angle_beta 90.00
_cell_angle_gamma 120.00
loop_
_atom_site_label
_atom_site_type_symbol
_atom_site_fract_x
_atom_site_fract_y
_atom_site_fract_z
As1 As 0.000 0.000 0.113
As2 As 0.000 0.000 0.887
As3 As 0.333 0.667 0.554
As4 As 0.333 0.667 0.780
As5 As 0.667 0.333 0.220
As6 As 0.667 0.333 0.446
Pd1 Pd 0.000 0.000 0.500
Pd2 Pd 0.333 0.667 0.167
Pd3 Pd 0.667 0.333 0.833
Pb1 Pb 0.000 0.000 0.000
Pb2 Pb 0.333 0.667 0.667
Pb3 Pb 0.667 0.333 0.333
# Density (g/cm³): 7.75
# E_form (kJ/mol of formula units): -8